1.
Compound: TaFe2F
Source: Alexandria via LeMat-Bulk
Functional: GGA-PBEsol
Structure: relaxed

abc: 4.133 4.133 4.133
angles: 60.00 60.00 60.00
Positions (direct):
F 0.000 0.000 0.000
Fe 0.250 0.250 0.250
Fe 0.750 0.750 0.750
Ta 0.500 0.500 0.500

Values from the calculation:
ρ: 10.4 g/cm³
ΔE_f (raw): 0.348 eV/atom
magnetic moment: 2.42 μB per formula unit

---

2.
Compound: KBP2PbO8
Source: Alexandria via LeMat-Bulk
Functional: GGA-PBEsol
Structure: relaxed

abc: 7.104 7.104 8.529
angles: 112.59 112.59 90.35
Positions (direct):
K 0.377 0.219 0.733
K 0.219 0.377 0.233
B 0.026 0.729 0.503
B 0.729 0.026 0.003
P 0.877 0.019 0.740
P 0.395 0.704 0.757
P 0.019 0.877 0.240
P 0.704 0.395 0.257
Pb 0.910 0.519 0.770
Pb 0.519 0.910 0.270
O 0.669 0.035 0.604
O 0.044 0.208 0.824
O 0.542 0.562 0.709
O 0.269 0.628 0.838
O 0.208 0.044 0.324
O 0.562 0.542 0.209
O 0.628 0.269 0.338
O 0.035 0.669 0.104
O 0.951 0.812 0.651
O 0.855 0.971 0.898
O 0.251 0.737 0.577
O 0.509 0.934 0.896
O 0.971 0.855 0.398
O 0.737 0.251 0.077
O 0.934 0.509 0.396
O 0.812 0.951 0.151

Values from the calculation:
ρ: 4.1 g/cm³
ΔE_f (raw): -2.212 eV/atom
magnetic moment: 0.00 μB per formula unit

---

3.
Compound: Sr2B5H3O11
Source: Alexandria via LeMat-Bulk
Functional: GGA-PBEsol
Structure: relaxed

abc: 6.510 6.486 11.325
angles: 86.10 88.41 61.43
Positions (direct):
Sr 0.754 0.532 0.775
Sr 0.573 0.527 0.254
Sr 0.617 0.123 0.561
Sr 0.122 0.109 0.054
B 0.051 0.655 0.254
B 0.659 0.998 0.234
B 0.971 0.031 0.341
B 0.654 0.116 0.010
B 0.238 0.630 0.775
B 0.159 0.127 0.502
B 0.408 0.183 0.833
B 0.231 0.215 0.292
B 0.844 0.959 0.815
B 0.158 0.044 0.728
H 0.647 0.611 0.518
H 0.368 0.660 0.486
H 0.927 0.605 0.526
H 0.568 0.602 0.020
H 0.326 0.561 0.028
H 0.833 0.629 0.021
O 0.616 0.984 0.788
O 0.776 0.681 0.565
O 0.726 0.085 0.335
O 0.428 0.014 0.241
O 0.433 0.197 0.965
O 0.011 0.208 0.271
O 0.847 0.028 0.938
O 0.213 0.137 0.616
O 0.316 0.787 0.739
O 0.218 0.430 0.233
O 0.260 0.219 0.421
O 0.911 0.096 0.729
O 0.531 0.538 0.480
O 0.023 0.031 0.469
O 0.129 0.794 0.301
O 0.403 0.397 0.771
O 0.692 0.130 0.127
O 0.821 0.740 0.223
O 0.195 0.165 0.823
O 0.374 0.676 0.047
O 0.014 0.704 0.813
O 0.786 0.513 0.000

Values from the calculation:
electronic total energy: -313.07 eV/cell
ρ: 3.2 g/cm³
magnetic moment: 0.00 μB per formula unit

---

4.
Compound: YP2IO
Source: Alexandria via LeMat-Bulk
Functional: GGA-PBEsol
Structure: relaxed

abc: 3.986 5.049 5.049
angles: 90.00 90.00 90.00
Positions (direct):
I 0.000 0.000 0.000
Y 0.500 0.500 0.500
O 0.500 0.000 0.000
P 0.000 0.000 0.500
P 0.000 0.500 0.000

Values from the calculation:
ρ: 4.8 g/cm³
ΔE_f (raw): 0.023 eV/atom
magnetic moment: 0.00 μB per formula unit